Model a:
Below is a relaxed structure of TbEuAg, with properties calculated at the PBE-GGA level.

space group: P3m1
density: 7.95 g/cm3

a b c (Å): 3.821 5.142 5.142
angles (deg): 120.00 90.00 90.00
Site moments in Bohr magnetons follow the coordinates.
Positions (direct):
Tb1 0.085 0.000 0.000  0.12
Eu1 0.633 0.667 0.333  6.87
Ag1 0.282 0.333 0.667  0.01

Model b:
Below is a relaxed structure of TbEuAg, with properties calculated at the PBE-GGA level.

space group: I4mm
density: 7.72 g/cm3

a b c (Å): 3.715 3.715 7.038
angles (deg): 105.30 105.30 90.00
Site moments in Bohr magnetons follow the coordinates.
Positions (direct):
Tb1 0.302 0.302 0.603  0.09
Ag1 0.679 0.679 0.357  0.01
Eu1 0.020 0.020 0.040  6.88

Energies relative to the most stable structure are model a 15.3; model b 0.0, reported in kJ/mol of atoms.

Model a:
Below is a relaxed structure of Tb2EuAg, with properties calculated at the PBE-GGA level.

space group: P4/mmm
density: 7.90 g/cm3

a b c (Å): 3.672 3.672 9.002
angles (deg): 90.00 90.00 90.00
Site moments in Bohr magnetons follow the coordinates.
Positions (direct):
Tb1 0.000 0.000 0.802  -0.25
Ag1 0.500 0.500 0.000  -0.03
Tb2 0.000 0.000 0.198  -0.25
Eu1 0.500 0.500 0.500  -6.99

Model b:
Below is a relaxed structure of Tb2EuAg, with properties calculated at the PBE-GGA level.

space group: P4/mmm
density: 8.39 g/cm3

a b c (Å): 4.057 5.307 5.307
angles (deg): 90.00 90.00 90.00
Site moments in Bohr magnetons follow the coordinates.
Positions (direct):
Eu1 0.500 0.000 0.000  -6.85
Ag1 0.500 0.500 0.500  -0.01
Tb1 0.000 0.000 0.500  -0.14
Tb2 0.000 0.500 0.000  -0.14

Energies relative to the most stable structure are model a 0.0; model b 12.2, reported in kJ/mol of atoms.

Model a:
Below is a relaxed structure of Eu2AgTe, with properties calculated at the PBE-GGA level.

space group: R-3m
density: 6.59 g/cm3

a b c (Å): 4.579 4.579 7.934
angles (deg): 73.23 73.23 60.00
Site moments in Bohr magnetons follow the coordinates.
Positions (direct):
Eu1 0.749 0.749 0.754  6.93
Eu2 0.251 0.251 0.246  6.93
Ag1 0.000 0.000 0.000  0.02
Te1 0.500 0.500 0.500  -0.05

Model b:
Below is a relaxed structure of Eu2AgTe, with properties calculated at the PBE-GGA level.

space group: P4/mmm
density: 7.51 g/cm3

a b c (Å): 3.965 3.965 7.588
angles (deg): 90.00 90.00 90.00
Site moments in Bohr magnetons follow the coordinates.
Positions (direct):
Eu1 0.000 0.000 0.750  6.91
Eu2 0.000 0.000 0.250  6.91
Te1 0.500 0.500 0.500  -0.06
Ag1 0.500 0.500 0.000  0.00

Energies relative to the most stable structure are model a 1.1; model b 0.0, reported in kJ/mol of atoms.

Model a:
Below is a relaxed structure of Eu2ThAg, with properties calculated at the PBE-GGA level.

space group: R-3m
density: 8.32 g/cm3

a b c (Å): 3.526 3.526 12.113
angles (deg): 81.63 81.63 60.00
Site moments in Bohr magnetons follow the coordinates.
Positions (direct):
Eu1 0.098 0.098 0.707  7.07
Th1 0.000 0.000 0.000  0.04
Ag1 0.500 0.500 0.500  0.02
Eu2 0.902 0.902 0.293  7.07

Model b:
Below is a relaxed structure of Eu2ThAg, with properties calculated at the PBE-GGA level.

space group: P4/mmm
density: 8.52 g/cm3

a b c (Å): 3.656 3.656 9.391
angles (deg): 90.00 90.00 90.00
Site moments in Bohr magnetons follow the coordinates.
Positions (direct):
Th1 0.500 0.500 0.500  0.04
Eu1 0.000 0.000 0.214  6.86
Eu2 0.000 0.000 0.786  6.86
Ag1 0.500 0.500 0.000  0.01

Energies relative to the most stable structure are model a 22.1; model b 0.0, reported in kJ/mol of atoms.